No. 1
Material: NaSN2Cl
Method: DFT, GGA-PBE
State: relaxed

Results
Energy relative to the lowest polymorph listed for this composition, meV per atom: 302.0
Total magnetic moment, μB per atom: 1.22
Energy relative to the elements, uncorrected, eV/atom: 2.08

abc: 4.5347 4.5347 5.4963
angles: 90.00 90.00 90.00
Space group P4/mmm (No. 123)
Unique sites:
Na 0.0000 0.0000 0.0000
S 0.0000 0.0000 0.5000
N 0.0000 0.5000 0.0000
Cl 0.5000 0.5000 0.5000

No. 2
Material: Sc6ZnGa3
Method: DFT, GGA-PBE
State: relaxed

Results
Energy relative to the elements, eV/atom: -0.443
Total magnetic moment, μB per atom: 0.01

abc: 8.3788 4.7869 10.4850
angles: 90.00 108.40 90.00
Space group P2_1/m (No. 11)
Unique sites:
Sc 0.0363 0.2500 0.4110
Sc 0.1570 0.7500 0.1735
Sc 0.2552 0.2500 0.9999
Sc 0.3402 0.7500 0.8088
Sc 0.3646 0.2500 0.3320
Sc 0.3967 0.2500 0.6224
Zn 0.4543 0.7500 0.1032
Ga 0.0292 0.7500 0.8830
Ga 0.1239 0.2500 0.7149
Ga 0.2795 0.7500 0.4705

No. 3
Material: Tb8OsRu2
Method: DFT, GGA-PBE
State: relaxed

Results
Energy relative to the lowest polymorph listed for this composition, meV per atom: 0.0
Energy relative to the elements, eV/atom: -0.229
Total magnetic moment, μB per atom: 0.00

abc: 17.4761 4.8733 6.8664
angles: 90.00 107.37 90.00
Space group C2/m (No. 12)
Unique sites:
Tb 0.0304 0.0000 0.2940
Tb 0.0950 0.5000 0.9498
Tb 0.1673 0.5000 0.4641
Tb 0.2036 0.0000 0.8147
Os 0.0000 0.5000 0.5000
Ru 0.1861 0.0000 0.1984

No. 4
Material: Nd2Zn2Ag
Method: DFT, GGA-PBE
State: relaxed

Results
Energy relative to the lowest polymorph listed for this composition, meV per atom: 0.0
Energy relative to the elements, eV/atom: -0.285
Total magnetic moment, μB per atom: 0.00

abc: 10.4257 4.6895 10.9329
angles: 90.00 115.81 90.00
Space group C2/m (No. 12)
Unique sites:
Nd 0.0163 0.0000 0.3326
Nd 0.1955 0.0000 0.1078
Zn 0.0125 0.5000 0.8886
Zn 0.1376 0.5000 0.5667
Ag 0.2259 0.5000 0.3478

No. 5
Material: BiRhN3
Method: DFT, GGA-PBE
State: relaxed

Results
Total magnetic moment, μB per atom: 0.29
Energy relative to the elements, uncorrected, eV/atom: 1.32

abc: 3.9571 3.9571 3.9571
angles: 90.00 90.00 90.00
Space group Pm-3m (No. 221)
Unique sites:
Bi 0.0000 0.0000 0.0000
Rh 0.5000 0.5000 0.5000
N 0.0000 0.5000 0.5000

No. 6
Material: Ho8TmTl2
Method: DFT, GGA-PBE
State: relaxed

Results
Energy relative to the elements, eV/atom: 0.003
Total magnetic moment, μB per atom: 0.00

abc: 8.8450 15.1404 5.5309
angles: 90.00 113.54 90.00
Space group C2/m (No. 12)
Unique sites:
Ho 0.0000 0.2157 0.0000
Ho 0.1007 0.5000 0.7980
Ho 0.2084 0.1131 0.6174
Tm 0.0000 0.0000 0.0000
Tl 0.0000 0.3063 0.5000

No. 7
Material: CsIN2F
Method: DFT, GGA-PBE
State: relaxed

Results
Energy relative to the lowest polymorph listed for this composition, meV per atom: 1399.9
Total magnetic moment, μB per atom: 1.18
Energy relative to the elements, uncorrected, eV/atom: 1.92

abc: 4.9323 4.9323 7.4012
angles: 90.00 90.00 90.00
Space group P4/mmm (No. 123)
Unique sites:
Cs 0.0000 0.0000 0.0000
I 0.0000 0.0000 0.5000
N 0.0000 0.5000 0.0000
F 0.5000 0.5000 0.5000

No. 8
Material: CuBF2
Method: DFT, GGA-PBE
State: relaxed

Results
Energy relative to the lowest polymorph listed for this composition, meV per atom: 673.7
Total magnetic moment, μB per atom: 0.00
Energy relative to the elements, uncorrected, eV/atom: -0.09

abc: 3.6137 3.6137 13.4010
angles: 90.00 90.00 90.00
Space group I-42d (No. 122)
Unique sites:
Cu 0.0000 0.0000 0.0000
B 0.0000 0.0000 0.5000
F 0.2492 0.2500 0.1250

No. 9
Material: TlIn4Hg6
Method: DFT, GGA-PBE
State: relaxed

Results
Energy relative to the lowest polymorph listed for this composition, meV per atom: 0.0
Energy relative to the elements, eV/atom: 0.037
Total magnetic moment, μB per atom: 0.00

abc: 6.2262 6.2262 16.1394
angles: 90.00 90.00 90.00
Space group I-42m (No. 121)
Unique sites:
Tl 0.0000 0.0000 0.0000
In 0.1861 0.1861 0.3643
Hg 0.0000 0.5000 0.0000
Hg 0.1951 0.1951 0.1775

No. 10
Material: NaIn4Pd7
Method: DFT, GGA-PBE
State: relaxed

Results
Energy relative to the elements, eV/atom: -0.313
Total magnetic moment, μB per atom: 0.00

abc: 11.2970 4.8873 9.8255
angles: 90.00 122.33 90.00
Space group C2/m (No. 12)
Unique sites:
Na 0.0000 0.0000 0.0000
In 0.0861 0.5000 0.7774
In 0.2308 0.5000 0.3258
Pd 0.0000 0.5000 0.0000
Pd 0.0716 0.0000 0.3461
Pd 0.1401 0.5000 0.5378
Pd 0.2136 0.0000 0.9040

No. 11
Material: Nb2CrGaN
Method: DFT, GGA-PBE
State: relaxed

Results
Total magnetic moment, μB per atom: 0.01
Energy relative to the elements, uncorrected, eV/atom: -0.44

abc: 4.3204 4.3204 3.7480
angles: 90.00 90.00 90.00
Space group P4/mmm (No. 123)
Unique sites:
Nb 0.0000 0.5000 0.0000
Cr 0.0000 0.0000 0.5000
Ga 0.5000 0.5000 0.5000
N 0.0000 0.0000 0.0000

No. 12
Material: Ca2ZrCd2
Method: DFT, GGA-PBE
State: relaxed

Results
Energy relative to the lowest polymorph listed for this composition, meV per atom: 264.6
Energy relative to the elements, eV/atom: 0.293
Total magnetic moment, μB per atom: 0.00

abc: 3.9449 3.9449 19.9267
angles: 90.00 90.00 90.00
Space group I4/mmm (No. 139)
Unique sites:
Ca 0.0000 0.0000 0.1061
Zr 0.0000 0.0000 0.5000
Cd 0.0000 0.5000 0.2500